Material: NiPtS2F
Method: DFT, PBE with a Hubbard U
State: relaxed

Output
Uncorrected energy, eV per atom: -3.51
Total magnetization, μB per formula unit: 1.44
Volume, A^3/atom: 18.26
Mass density, g/cm³: 6.13
DOS at the Fermi energy, states/eV/f.u.: 4.27

Cell: 4.710 4.116 4.710 Å, 90.00 90.00 90.00°
Last column: magnetic moment on the atom in μB.
Positions (direct):
Ni  0.500  0.500  0.500  1.12
S  0.000  0.000  0.500  0.07
S  0.500  0.000  0.000  0.12
Pt  0.000  0.000  0.000  0.02
F  0.000  0.500  0.000  0.00